The following is a DFT calculation (PBE with a Hubbard U) of SmGe2MoO8 after structural relaxation.

abc: 5.842 5.842 5.842
angles: 106.63 106.63 115.31
Fractional positions:
Sm (0.000, 0.000, 0.000)
Ge (0.250, 0.750, 0.500)
Ge (0.500, 0.500, 0.000)
Mo (0.750, 0.250, 0.500)
O (0.040, 0.370, 0.330)
O (0.040, 0.710, 0.670)
O (0.123, 0.318, 0.805)
O (0.290, 0.960, 0.330)
O (0.514, 0.318, 0.195)
O (0.630, 0.960, 0.670)
O (0.682, 0.486, 0.805)
O (0.682, 0.877, 0.195)

Output
* E: -6.970 eV per atom